Record 1
A relaxed structure of BaZrCo2Os. Source: Alexandria via LeMat-Bulk, functional GGA-PBEsol.

abc: 4.7615 4.7615 4.8438
angles: 90.00 90.00 90.00
With the nearest neighbours (Å) after each atom.
Element x y z (fractional)
Co: 0.5000 0.0000 0.0000  2 Os 2.38
Co: 0.0000 0.5000 0.0000  2 Os 2.38
Zr: 0.0000 0.0000 0.5000  2 Os 2.42
Ba: 0.5000 0.5000 0.5000  4 Zr 3.37, 8 Co 3.40
Os: 0.0000 0.0000 0.0000  4 Co 2.38, 2 Zr 2.42

Results
Total magnetic moment (μB per cell): 2.851
E (eV per cell): -34.95
Energy of formation from the pure elements (eV/atom): 0.796

Record 2
A relaxed structure of BaCoP3. Source: Alexandria via LeMat-Bulk, functional GGA-PBEsol.

abc: 4.5738 4.5738 4.5738
angles: 90.00 90.00 90.00
With the nearest neighbours (Å) after each atom.
Element x y z (fractional)
P: 0.0000 0.0000 0.5000  2 Co 2.29
P: 0.5000 0.0000 0.0000  2 Co 2.29
P: 0.0000 0.5000 0.0000  2 Co 2.29
Co: 0.0000 0.0000 0.0000  6 P 2.29
Ba: 0.5000 0.5000 0.5000  12 P 3.23

Results
Total magnetic moment (μB per cell): 1.262
E (eV per cell): -27.82
Energy of formation from the pure elements (eV/atom): -0.113

Record 3
A relaxed structure of Ba4CoPb. Source: Alexandria via LeMat-Bulk, functional GGA-PBEsol.

abc: 6.8845 6.8845 6.8845
angles: 60.00 60.00 60.00
With the nearest neighbours (Å) after each atom.
Element x y z (fractional)
Ba: 0.3747 0.3747 0.3747  6 Ba 3.43-3.45
Ba: 0.8759 0.3747 0.3747  6 Ba 3.43-3.45
Ba: 0.3747 0.3747 0.8759  6 Ba 3.43-3.45
Ba: 0.3747 0.8759 0.3747  6 Ba 3.43-3.45
Co: 0.7500 0.7500 0.7500  12 Ba 4.04, 4 Pb 4.22
Pb: 0.0000 0.0000 0.0000  12 Ba 4.04, 4 Co 4.22

Results
Total magnetic moment (μB per cell): 1.311
E (eV per cell): -15.88
Energy of formation from the pure elements (eV/atom): 0.742

Record 4
A relaxed structure of BaCoPdPt2. Source: Alexandria via LeMat-Bulk, functional GGA-PBEsol.

abc: 4.6838 4.6838 4.6911
angles: 90.00 90.00 90.00
With the nearest neighbours (Å) after each atom.
Element x y z (fractional)
Pt: 0.5000 0.0000 0.0000  2 Co 2.34
Pt: 0.0000 0.5000 0.0000  2 Co 2.34
Co: 0.0000 0.0000 0.0000  4 Pt 2.34, 2 Pd 2.35
Pd: 0.0000 0.0000 0.5000  2 Co 2.35
Ba: 0.5000 0.5000 0.5000  4 Pd 3.31, 8 Pt 3.31

Results
Total magnetic moment (μB per cell): 2.700
E (eV per cell): -29.08
Energy of formation from the pure elements (eV/atom): 0.139

Record 5
A relaxed structure of Ba2ScCoPd. Source: Alexandria via LeMat-Bulk, functional GGA-PBEsol.

abc: 4.1583 6.1657 6.1657
angles: 90.00 90.00 90.00
With the nearest neighbours (Å) after each atom.
Element x y z (fractional)
Pd: 0.5000 0.5000 0.5000  8 Ba 3.72, 2 Pd 4.16
Sc: 0.0000 0.0000 0.0000  2 Co 2.08
Co: 0.5000 0.0000 0.0000  2 Sc 2.08
Ba: 0.0000 0.5000 0.0000  2 Sc 3.08
Ba: 0.0000 0.0000 0.5000  2 Sc 3.08

Results
Total magnetic moment (μB per cell): 0.000
E (eV per cell): -20.99
Energy of formation from the pure elements (eV/atom): 0.721

Record 6
A relaxed structure of BaCoPt2. Source: Alexandria via LeMat-Bulk, functional GGA-PBEsol.

abc: 3.1460 3.1460 7.5342
angles: 90.00 90.00 90.00
With the nearest neighbours (Å) after each atom.
Element x y z (fractional)
Pt: 0.0000 0.0000 0.3199  4 Co 2.61, 1 Pt 2.71
Pt: 0.0000 0.0000 0.6801  4 Co 2.61, 1 Pt 2.71
Ba: 0.5000 0.5000 0.0000  4 Ba 3.15, 8 Pt 3.28
Co: 0.5000 0.5000 0.5000  8 Pt 2.61

Results
Total magnetic moment (μB per cell): 2.261
E (eV per cell): -23.54
Energy of formation from the pure elements (eV/atom): 0.068

Record 7
A relaxed structure of BaCoPt2. Source: Alexandria via LeMat-Bulk, functional GGA-PBEsol.

abc: 4.3087 4.3087 5.0685
angles: 115.15 115.15 90.00
With the nearest neighbours (Å) after each atom.
Element x y z (fractional)
Ba: 0.5000 0.5000 0.0000  4 Co 2.96, 8 Pt 2.96-3.05
Pt: 0.7500 0.2500 0.5000  4 Ba 2.96, 4 Pt 2.96, 4 Co 3.05
Pt: 0.0000 0.0000 0.0000  4 Co 2.96, 4 Pt 2.96, 4 Ba 3.05
Co: 0.2500 0.7500 0.5000  8 Pt 2.96-3.05, 4 Ba 2.96

Results
Total magnetic moment (μB per cell): 2.056
E (eV per cell): -22.06
Energy of formation from the pure elements (eV/atom): 0.438

Record 8
A relaxed structure of BaCoPt2. Source: Alexandria via LeMat-Bulk, functional GGA-PBEsol.

abc: 3.2808 3.2808 7.2218
angles: 90.00 90.00 90.00
With the nearest neighbours (Å) after each atom.
Element x y z (fractional)
Co: 0.5000 0.5000 0.8401  5 Pt 2.51-2.52
Ba: 0.0000 0.0000 0.4986  5 Pt 3.22-3.42, 4 Ba 3.28, 4 Co 3.39
Pt: 0.5000 0.5000 0.1894  1 Co 2.52, 4 Pt 2.80
Pt: 0.0000 0.0000 0.9719  4 Co 2.51, 4 Pt 2.80

Results
Total magnetic moment (μB per cell): 2.013
E (eV per cell): -23.02
Energy of formation from the pure elements (eV/atom): 0.198

Record 9
A relaxed structure of BaCoPt2. Source: Alexandria via LeMat-Bulk, functional GGA-PBEsol.

abc: 4.3948 4.3948 5.9837
angles: 68.48 68.48 59.99
With the nearest neighbours (Å) after each atom.
Element x y z (fractional)
Co: 0.6797 0.6797 0.9616  6 Pt 2.55-2.58
Ba: 0.5025 0.5025 0.4909  1 Co 2.87, 1 Pt 3.02
Pt: 0.0002 0.0002 0.9998  3 Co 2.55, 3 Pt 2.55
Pt: 0.3176 0.3176 0.0477  3 Pt 2.55, 3 Co 2.58

Results
Total magnetic moment (μB per cell): 1.231
E (eV per cell): -24.88
Energy of formation from the pure elements (eV/atom): -0.266

Record 10
A relaxed structure of BaCoPt. Source: Alexandria via LeMat-Bulk, functional GGA-PBEsol.

abc: 4.7997 4.7997 4.7997
angles: 60.00 60.00 60.00
With the nearest neighbours (Å) after each atom.
Element x y z (fractional)
Pt: 0.7500 0.7500 0.7500  4 Co 2.94, 4 Ba 2.94
Co: 0.5000 0.5000 0.5000  4 Pt 2.94
Ba: 0.0000 0.0000 0.0000  4 Pt 2.94

Results
Total magnetic moment (μB per cell): 2.313
E (eV per cell): -14.99
Energy of formation from the pure elements (eV/atom): 0.620

Record 11
A relaxed structure of RbBa3Co. Source: Alexandria via LeMat-Bulk, functional GGA-PBEsol.

abc: 6.2468 6.2468 6.2468
angles: 90.00 90.00 90.00
With the nearest neighbours (Å) after each atom.
Element x y z (fractional)
Ba: 0.5000 0.0000 0.0000  2 Rb 3.12
Ba: 0.0000 0.0000 0.5000  2 Rb 3.12
Ba: 0.0000 0.5000 0.0000  2 Rb 3.12
Rb: 0.0000 0.0000 0.0000  6 Ba 3.12
Co: 0.5000 0.5000 0.5000  12 Ba 4.42

Results
Total magnetic moment (μB per cell): 1.793
E (eV per cell): -7.85
Energy of formation from the pure elements (eV/atom): 1.472

Record 12
A relaxed structure of Ba2CoRe. Source: Alexandria via LeMat-Bulk, functional GGA-PBEsol.

abc: 3.0362 3.6018 9.0627
angles: 90.00 90.00 90.00
With the nearest neighbours (Å) after each atom.
Element x y z (fractional)
Ba: 0.0000 0.0000 0.7560  2 Ba 3.04, 4 Co 3.23, 4 Re 3.31
Ba: 0.0000 0.0000 0.2440  2 Ba 3.04, 4 Co 3.23, 4 Re 3.31
Co: 0.5000 0.5000 0.0000  2 Co 3.04, 8 Ba 3.23
Re: 0.5000 0.5000 0.5000  2 Re 3.04, 8 Ba 3.31

Results
Total magnetic moment (μB per cell): 1.816
E (eV per cell): -19.82
Energy of formation from the pure elements (eV/atom): 1.386
ΔE to the lowest computed polymorph (kJ/mol of formula units): 0

Record 13
A relaxed structure of BaCoRe. Source: Alexandria via LeMat-Bulk, functional GGA-PBEsol.

abc: 4.5609 4.5609 4.5609
angles: 60.00 60.00 60.00
With the nearest neighbours (Å) after each atom.
Element x y z (fractional)
Ba: 0.5000 0.5000 0.5000  4 Co 2.79
Re: 0.0000 0.0000 0.0000  4 Co 2.79
Co: 0.2500 0.2500 0.2500  4 Ba 2.79, 4 Re 2.79

Results
Total magnetic moment (μB per cell): 3.714
E (eV per cell): -18.18
Energy of formation from the pure elements (eV/atom): 1.680

Record 14
A relaxed structure of Ba2CoRe. Source: Alexandria via LeMat-Bulk, functional GGA-PBEsol.

abc: 3.0489 5.8062 5.8062
angles: 90.00 90.00 90.00
With the nearest neighbours (Å) after each atom.
Element x y z (fractional)
Ba: 0.0000 0.5000 0.0000  2 Ba 3.05, 4 Co 3.28, 4 Re 3.28
Ba: 0.0000 0.0000 0.5000  2 Ba 3.05, 4 Re 3.28, 4 Co 3.28
Re: 0.5000 0.5000 0.5000  2 Re 3.05, 8 Ba 3.28
Co: 0.5000 0.0000 0.0000  2 Co 3.05, 8 Ba 3.28

Results
Total magnetic moment (μB per cell): 2.045
E (eV per cell): -19.78
Energy of formation from the pure elements (eV/atom): 1.398
ΔE to the lowest computed polymorph (kJ/mol of formula units): 4

Record 15
A relaxed structure of BaCoRh2. Source: Alexandria via LeMat-Bulk, functional GGA-PBEsol.

abc: 2.9346 5.0404 5.5201
angles: 116.09 103.72 93.60
With the nearest neighbours (Å) after each atom.
Element x y z (fractional)
Co: 0.5000 0.0000 0.0000  4 Rh 2.80, 4 Ba 2.84-2.99, 2 Co 2.93
Rh: 0.5000 0.5000 0.5000  2 Ba 2.80, 2 Co 2.80, 6 Rh 2.84-2.99
Rh: 0.0000 0.0000 0.5000  2 Co 2.80, 2 Ba 2.80, 6 Rh 2.84-2.99
Ba: 0.0000 0.5000 0.0000  4 Rh 2.80, 4 Co 2.84-2.99, 2 Ba 2.93

Results
Total magnetic moment (μB per cell): 2.302
E (eV per cell): -22.97
Energy of formation from the pure elements (eV/atom): 0.798

Record 16
A relaxed structure of BaCoRh2. Source: Alexandria via LeMat-Bulk, functional GGA-PBEsol.

abc: 4.3379 4.3379 4.8103
angles: 116.80 116.80 90.00
With the nearest neighbours (Å) after each atom.
Element x y z (fractional)
Co: 0.2500 0.7500 0.5000  8 Rh 2.85-3.07, 4 Ba 2.85
Rh: 0.0000 0.0000 0.0000  4 Co 2.85, 4 Rh 2.85, 4 Ba 3.07
Rh: 0.7500 0.2500 0.5000  4 Rh 2.85, 4 Ba 2.85, 4 Co 3.07
Ba: 0.5000 0.5000 0.0000  8 Rh 2.85-3.07, 4 Co 2.85

Results
Total magnetic moment (μB per cell): 2.769
E (eV per cell): -23.19
Energy of formation from the pure elements (eV/atom): 0.743

Record 17
A relaxed structure of BaCo2Rh. Source: Alexandria via LeMat-Bulk, functional GGA-PBEsol.

abc: 3.0719 4.6856 4.6856
angles: 101.10 90.00 90.00
With the nearest neighbours (Å) after each atom.
Element x y z (fractional)
Ba: 0.5000 0.5000 0.5000  8 Co 2.80, 2 Rh 2.98, 2 Ba 3.07
Co: 0.0000 0.0000 0.5000  4 Ba 2.80, 4 Rh 2.80, 4 Co 2.98-3.07
Co: 0.0000 0.5000 0.0000  4 Rh 2.80, 4 Ba 2.80, 4 Co 2.98-3.07
Rh: 0.5000 0.0000 0.0000  8 Co 2.80, 2 Ba 2.98, 2 Rh 3.07

Results
Total magnetic moment (μB per cell): 3.459
E (eV per cell): -22.08
Energy of formation from the pure elements (eV/atom): 0.921

Record 18
A relaxed structure of BaCo2Rh. Source: Alexandria via LeMat-Bulk, functional GGA-PBEsol.

abc: 4.5382 4.5382 4.5382
angles: 60.00 60.00 60.00
With the nearest neighbours (Å) after each atom.
Element x y z (fractional)
Ba: 0.0000 0.0000 0.0000  8 Co 2.78
Co: 0.7500 0.7500 0.7500  4 Ba 2.78, 4 Rh 2.78
Co: 0.2500 0.2500 0.2500  4 Ba 2.78, 4 Rh 2.78
Rh: 0.5000 0.5000 0.5000  8 Co 2.78

Results
Total magnetic moment (μB per cell): 2.939
E (eV per cell): -22.16
Energy of formation from the pure elements (eV/atom): 0.900

Record 19
A relaxed structure of BaCoRh2. Source: Alexandria via LeMat-Bulk, functional GGA-PBEsol.

abc: 2.9098 3.5333 7.0798
angles: 90.00 90.00 90.00
With the nearest neighbours (Å) after each atom.
Element x y z (fractional)
Rh: 0.0000 0.0000 0.9822  4 Co 2.51, 4 Rh 2.68
Rh: 0.5000 0.5000 0.1800  1 Co 2.43, 4 Rh 2.68
Co: 0.5000 0.5000 0.8372  5 Rh 2.43-2.51
Ba: 0.0000 0.0000 0.5007  2 Ba 2.91, 4 Rh 3.22

Results
Total magnetic moment (μB per cell): 1.997
E (eV per cell): -24.35
Energy of formation from the pure elements (eV/atom): 0.453

Record 20
A relaxed structure of BaCo2Rh. Source: Alexandria via LeMat-Bulk, functional GGA-PBEsol.

abc: 3.0614 3.0614 7.3697
angles: 90.00 90.00 90.00
With the nearest neighbours (Å) after each atom.
Element x y z (fractional)
Ba: 0.5000 0.5000 0.7516  4 Ba 3.06, 4 Rh 3.24, 4 Co 3.31
Rh: 0.0000 0.0000 0.4247  5 Co 2.45-2.59
Co: 0.0000 0.0000 0.0918  4 Co 2.40, 1 Rh 2.45
Co: 0.5000 0.5000 0.2319  4 Co 2.40, 4 Rh 2.59

Results
Total magnetic moment (μB per cell): 3.930
E (eV per cell): -23.74
Energy of formation from the pure elements (eV/atom): 0.505